A plane-wave DFT calculation with PBE was carried out for crystalline Ba2HfS4 at its relaxed geometry.

uncorrected energy = -0.4552 Ry/atom
uncorrected formation energy = -1.864 eV/atom
SG = No. 11
relative energy among the computed polymorphs = 0.43 eV/f.u.

a b c (Å): 7.302 7.095 8.909
angles (deg): 90.00 108.69 90.00
Fractional coordinates of all 14 atoms:
1 Ba 0.708 0.750 0.048
2 Ba 0.292 0.250 0.952
3 Ba 0.226 0.250 0.432
4 Ba 0.774 0.750 0.568
5 Hf 0.265 0.750 0.200
6 Hf 0.735 0.250 0.800
7 S 0.489 0.495 0.262
8 S 0.088 0.750 0.925
9 S 0.912 0.250 0.075
10 S 0.489 0.005 0.262
11 S 0.934 0.250 0.633
12 S 0.511 0.995 0.738
13 S 0.511 0.505 0.738
14 S 0.066 0.750 0.367